1.
VASP calculation (PBE-GGA) on KTaP2 after structural relaxation.

As for the density of states at the Fermi level: 0.598 states/eV per atom. The formation energy is 255 kJ/mol of formula units. The theoretical density comes out at 6.29 g/cm3.

The space group is I-4m2 (No. 119) and the conventional cell measures 3.916, 3.916 and 9.707 Å, with angles of 90.00, 90.00 and 90.00 degrees. Symmetry generates all atoms from K at (0.000, 0.000, 0.000), Ta at (0.000, 0.500, 0.250), P at (0.000, 0.000, 0.500) and P at (0.000, 0.500, 0.750).

***

2.
VASP calculation (PBE-GGA) on KTaP3 after structural relaxation.

As for the density of states at the Fermi level: 1.199 states/eV per atom. The formation energy is 1164 kJ/mol of formula units. The theoretical density comes out at 4.67 g/cm3.

The space group is Pm-3m (No. 221) and the conventional cell measures 4.809, 4.809 and 4.809 Å, with angles of 90.00, 90.00 and 90.00 degrees. Symmetry generates all atoms from K at (0.000, 0.000, 0.000), Ta at (0.500, 0.500, 0.500) and P at (0.000, 0.000, 0.500).